w | MnAg3As: relaxed, PBE.

abc: 4.942 4.942 4.942
angles: 90.00 90.00 90.00
Positions (direct):
Mn 0.000 0.000 0.000
Ag 0.000 0.500 0.500
Ag 0.500 0.000 0.500
Ag 0.500 0.500 0.000
As 0.500 0.500 0.500

Output
Crystal system ... cubic



x | MnAg3As: relaxed, PBE.

abc: 4.897 4.897 4.897
angles: 90.00 90.00 90.00
Positions (direct):
Mn 0.000 0.000 0.000
Ag 0.000 0.000 0.500
Ag 0.000 0.500 0.000
Ag 0.500 0.000 0.000
As 0.500 0.500 0.500

Output
Crystal system ... cubic



w is the most stable structure; the next one sits 0.360 eV/atom above it.